! Tm2SnRu, optimized geometry, DFT GGA-PBE; values from VASP
&SYSTEM
  ibrav = 0, nat = 4, ntyp = 3
/
ATOMIC_SPECIES
Ru 101.07 Ru.upf
Tm 168.93 Tm.upf
Sn 118.71 Sn.upf
CELL_PARAMETERS angstrom
-2.4997 -2.1593 -0.5817
1.5885 -1.1005 -2.7413
3.7778 -5.5649 4.4232
ATOMIC_POSITIONS angstrom
Ru -0.4556 -1.6299 -1.6615
Tm 3.0021 -4.4222 3.5149
Tm 0.7757 -1.1427 0.9083
Sn 1.4333 -4.4123 0.5501
! Fermi-level density of states: 0.326 states/eV per atom
! Energy relative to the elements: -0.60 eV/atom
! DFT total energy: -6.1523 eV per atom